The following is a DFT calculation (PBE+U) of an optimized crystal structure of SrPaCoO6.

Unit cell a=4.769 b=5.436 c=5.436 alpha=120.00 beta=90.00 gamma=90.00
Atoms (fractional coordinates):
Co  0.500  0.000  0.000
O  0.736  0.259  0.952
O  0.264  0.693  0.952
O  0.736  0.048  0.307
O  0.264  0.048  0.741
Sr  0.500  0.667  0.333
O  0.264  0.259  0.307
O  0.736  0.693  0.741
Pa  0.000  0.333  0.667

Results
Density of states at the Fermi level = 5.3 states/eV/cell
Raw total energy = -7.142 eV/atom
Total moment = 2.03 μB/cell
Volume = 13.6 Å³/atom